## MgCdN3 (PBE-GGA)

Data for a geometry-optimized MgCdN3 structure.

The structure in POSCAR format:
```
MgCdN3
1.0
4.020 0.000 0.000
0.000 4.020 0.000
0.000 0.000 4.020
Mg Cd N
1 1 3
Cartesian
0.000 0.000 0.000
2.010 2.010 2.010
0.000 0.000 2.010
0.000 2.010 0.000
2.010 0.000 0.000
```

Output
- Formation energy from raw total energies: 1.64 eV/atom
- Mass density: 4.568 Mg/m³